This record from Alexandria describes a relaxed structure of BaHgPd3. The functional is PBE.

Cell: 5.456 5.456 5.456 Å, 90.00 90.00 90.00°
Sites, in units of the cell vectors:
Ba: 0.000 0.000 0.000
Hg: 0.500 0.500 0.500
Pd: 0.000 0.000 0.500
Pd: 0.000 0.500 0.000
Pd: 0.500 0.000 0.000

## Properties
ΔE to the lowest computed polymorph, meV per atom: 1280
Calculated total energy, eV/atom: -2.692
ΔH_f (0 K), eV/atom: 0.868

This record from Alexandria describes a relaxed structure of Ba2Hg5Pd. The functional is PBE.

Cell: 6.776 6.776 11.573 Å, 90.00 90.00 90.00°
Sites, in units of the cell vectors:
Ba: 0.000 0.500 0.000
Ba: 0.000 0.500 0.500
Ba: 0.500 0.000 0.000
Ba: 0.500 0.000 0.500
Hg: 0.000 0.000 0.117
Hg: 0.243 0.243 0.756
Hg: 0.243 0.757 0.756
Hg: 0.257 0.257 0.256
Hg: 0.257 0.743 0.256
Hg: 0.500 0.500 0.617
Hg: 0.743 0.257 0.256
Hg: 0.743 0.743 0.256
Hg: 0.757 0.243 0.756
Hg: 0.757 0.757 0.756
Pd: 0.000 0.000 0.885
Pd: 0.500 0.500 0.385

## Properties
ΔE to the lowest computed polymorph, meV per atom: 60
Calculated total energy, eV/atom: -1.679
ΔH_f (0 K), eV/atom: -0.361

This record from Alexandria describes a relaxed structure of Ba3Hg9Pd2. The functional is PBE.

Cell: 9.431 9.431 9.431 Å, 150.23 107.04 80.73°
Sites, in units of the cell vectors:
Ba: 0.000 0.000 0.000
Ba: 0.316 0.316 0.000
Ba: 0.684 0.684 0.000
Hg: 0.028 0.666 0.362
Hg: 0.163 0.880 0.283
Hg: 0.305 0.666 0.638
Hg: 0.402 0.120 0.283
Hg: 0.500 0.000 0.500
Hg: 0.598 0.880 0.717
Hg: 0.695 0.334 0.362
Hg: 0.837 0.120 0.717
Hg: 0.972 0.334 0.638
Pd: 0.282 0.500 0.782
Pd: 0.718 0.500 0.218

## Properties
Calculated total energy, eV/atom: -1.735
ΔH_f (0 K), eV/atom: -0.387

This record from Alexandria describes a relaxed structure of BaHgPd. The functional is PBE.

Cell: 11.693 4.698 7.914 Å, 90.00 128.22 90.00°
Sites, in units of the cell vectors:
Ba: 0.058 0.000 0.305
Ba: 0.442 0.500 0.695
Ba: 0.558 0.500 0.305
Ba: 0.942 0.000 0.695
Hg: 0.185 0.500 0.100
Hg: 0.315 0.000 0.900
Hg: 0.685 0.000 0.100
Hg: 0.815 0.500 0.900
Pd: 0.142 0.500 0.684
Pd: 0.358 0.000 0.316
Pd: 0.642 0.000 0.684
Pd: 0.858 0.500 0.316

## Properties
Calculated total energy, eV/atom: -3.028
ΔH_f (0 K), eV/atom: -0.555

This record from Alexandria describes a relaxed structure of Ba2Hg2Pd. The functional is PBE.

Cell: 8.040 8.040 5.041 Å, 90.00 90.00 90.00°
Sites, in units of the cell vectors:
Ba: 0.177 0.323 0.000
Ba: 0.323 0.823 0.000
Ba: 0.677 0.177 0.000
Ba: 0.823 0.677 0.000
Hg: 0.134 0.634 0.500
Hg: 0.366 0.134 0.500
Hg: 0.634 0.866 0.500
Hg: 0.866 0.366 0.500
Pd: 0.000 0.000 0.500
Pd: 0.500 0.500 0.500

## Properties
ΔE to the lowest computed polymorph, meV per atom: 193
Calculated total energy, eV/atom: -2.281
ΔH_f (0 K), eV/atom: -0.352

This record from Alexandria describes a relaxed structure of BaHg5Pd. The functional is PBE.

Cell: 5.029 5.029 7.818 Å, 90.00 90.00 90.00°
Sites, in units of the cell vectors:
Ba: 0.000 0.000 0.000
Hg: 0.000 0.500 0.309
Hg: 0.000 0.500 0.691
Hg: 0.500 0.000 0.309
Hg: 0.500 0.000 0.691
Hg: 0.500 0.500 0.000
Pd: 0.000 0.000 0.500

## Properties
Calculated total energy, eV/atom: -1.528
ΔH_f (0 K), eV/atom: -0.295

This record from Alexandria describes a relaxed structure of Ba3Hg2Pd7. The functional is PBE.

Cell: 9.713 9.713 9.713 Å, 35.04 35.04 35.04°
Sites, in units of the cell vectors:
Ba: 0.000 0.000 0.000
Ba: 0.140 0.140 0.140
Ba: 0.860 0.860 0.860
Hg: 0.333 0.333 0.333
Hg: 0.667 0.667 0.667
Pd: 0.085 0.582 0.582
Pd: 0.418 0.418 0.915
Pd: 0.418 0.915 0.418
Pd: 0.500 0.500 0.500
Pd: 0.582 0.085 0.582
Pd: 0.582 0.582 0.085
Pd: 0.915 0.418 0.418

## Properties
Calculated total energy, eV/atom: -4.068
ΔH_f (0 K), eV/atom: -0.508

This record from Alexandria describes a relaxed structure of Ba2Hg2Pd. The functional is PBE.

Cell: 8.658 8.658 4.988 Å, 90.00 90.00 90.00°
Sites, in units of the cell vectors:
Ba: 0.178 0.322 0.000
Ba: 0.322 0.822 0.000
Ba: 0.678 0.178 0.000
Ba: 0.822 0.678 0.000
Hg: 0.128 0.628 0.500
Hg: 0.372 0.128 0.500
Hg: 0.628 0.872 0.500
Hg: 0.872 0.372 0.500
Pd: 0.000 0.000 0.000
Pd: 0.500 0.500 0.000

## Properties
ΔE to the lowest computed polymorph, meV per atom: 319
Calculated total energy, eV/atom: -2.155
ΔH_f (0 K), eV/atom: -0.226

This record from Alexandria describes a relaxed structure of BaHg2Pd2. The functional is PBE.

Cell: 4.849 4.849 10.938 Å, 90.00 90.00 90.00°
Sites, in units of the cell vectors:
Ba: 0.000 0.000 0.000
Ba: 0.500 0.500 0.500
Hg: 0.000 0.000 0.369
Hg: 0.000 0.000 0.631
Hg: 0.500 0.500 0.131
Hg: 0.500 0.500 0.869
Pd: 0.000 0.500 0.250
Pd: 0.000 0.500 0.750
Pd: 0.500 0.000 0.250
Pd: 0.500 0.000 0.750

## Properties
ΔE to the lowest computed polymorph, meV per atom: 34
Calculated total energy, eV/atom: -2.968
ΔH_f (0 K), eV/atom: -0.385

This record from Alexandria describes a relaxed structure of Ba3HgPd8. The functional is PBE.

Cell: 9.810 9.810 9.810 Å, 33.58 33.58 33.58°
Sites, in units of the cell vectors:
Ba: 0.000 0.000 0.000
Ba: 0.128 0.128 0.128
Ba: 0.511 0.511 0.511
Hg: 0.633 0.633 0.633
Pd: 0.063 0.566 0.566
Pd: 0.068 0.068 0.568
Pd: 0.068 0.568 0.068
Pd: 0.316 0.316 0.316
Pd: 0.566 0.063 0.566
Pd: 0.566 0.566 0.063
Pd: 0.568 0.068 0.068
Pd: 0.817 0.817 0.817

## Properties
Calculated total energy, eV/atom: -4.429
ΔH_f (0 K), eV/atom: -0.462

This record from Alexandria describes a relaxed structure of BaHgPd4. The functional is PBE.

Cell: 7.887 4.339 8.101 Å, 90.00 90.00 90.00°
Sites, in units of the cell vectors:
Ba: 0.250 0.000 0.163
Ba: 0.750 0.000 0.837
Hg: 0.250 0.000 0.745
Hg: 0.750 0.000 0.255
Pd: 0.000 0.000 0.500
Pd: 0.038 0.500 0.728
Pd: 0.250 0.500 0.461
Pd: 0.462 0.500 0.728
Pd: 0.500 0.000 0.500
Pd: 0.538 0.500 0.272
Pd: 0.750 0.500 0.539
Pd: 0.962 0.500 0.272

## Properties
Calculated total energy, eV/atom: -4.060
ΔH_f (0 K), eV/atom: -0.227

This record from Alexandria describes a relaxed structure of Ba3Hg2Pd2. The functional is PBE.

Cell: 12.351 4.534 9.053 Å, 90.00 112.01 90.00°
Sites, in units of the cell vectors:
Ba: 0.000 0.000 0.000
Ba: 0.187 0.000 0.670
Ba: 0.313 0.500 0.330
Ba: 0.500 0.500 0.000
Ba: 0.687 0.500 0.670
Ba: 0.813 0.000 0.330
Hg: 0.029 0.500 0.330
Hg: 0.471 0.000 0.670
Hg: 0.529 0.000 0.330
Hg: 0.971 0.500 0.670
Pd: 0.188 0.500 0.930
Pd: 0.312 0.000 0.070
Pd: 0.688 0.000 0.930
Pd: 0.812 0.500 0.070

## Properties
Calculated total energy, eV/atom: -2.940
ΔH_f (0 K), eV/atom: -0.546

This record from Alexandria describes a relaxed structure of Ba4HgPd. The functional is PBE.

Cell: 8.135 8.146 9.601 Å, 69.72 65.01 89.90°
Sites, in units of the cell vectors:
Ba: 0.124 0.098 0.243
Ba: 0.131 0.598 0.243
Ba: 0.365 0.391 0.761
Ba: 0.376 0.891 0.761
Ba: 0.624 0.109 0.239
Ba: 0.635 0.609 0.239
Ba: 0.869 0.402 0.757
Ba: 0.876 0.902 0.757
Hg: 0.251 0.750 0.500
Hg: 0.749 0.250 0.500
Pd: 0.000 0.000 0.000
Pd: 0.500 0.500 0.000

## Properties
ΔE to the lowest computed polymorph, meV per atom: 24
Calculated total energy, eV/atom: -2.522
ΔH_f (0 K), eV/atom: -0.325

This record from Alexandria describes a relaxed structure of Ba9HgPd3. The functional is PBE.

Cell: 8.016 12.016 13.241 Å, 90.00 95.75 90.00°
Sites, in units of the cell vectors:
Ba: 0.090 0.250 0.200
Ba: 0.154 0.569 0.379
Ba: 0.154 0.931 0.379
Ba: 0.206 0.250 0.857
Ba: 0.254 0.557 0.041
Ba: 0.254 0.943 0.041
Ba: 0.358 0.250 0.528
Ba: 0.359 0.569 0.710
Ba: 0.359 0.931 0.710
Ba: 0.641 0.069 0.290
Ba: 0.641 0.431 0.290
Ba: 0.642 0.750 0.472
Ba: 0.746 0.057 0.959
Ba: 0.746 0.443 0.959
Ba: 0.794 0.750 0.143
Ba: 0.846 0.069 0.621
Ba: 0.846 0.431 0.621
Ba: 0.910 0.750 0.800
Hg: 0.471 0.250 0.086
Hg: 0.529 0.750 0.914
Pd: 0.051 0.004 0.829
Pd: 0.051 0.496 0.829
Pd: 0.500 0.000 0.500
Pd: 0.500 0.500 0.500
Pd: 0.949 0.504 0.171
Pd: 0.949 0.996 0.171

## Properties
Calculated total energy, eV/atom: -2.907
ΔH_f (0 K), eV/atom: -0.355

This record from Alexandria describes a relaxed structure of Ba6HgPd2. The functional is PBE.

Cell: 8.303 8.303 10.666 Å, 116.29 116.29 44.17°
Sites, in units of the cell vectors:
Ba: 0.019 0.019 0.204
Ba: 0.300 0.300 0.912
Ba: 0.352 0.352 0.416
Ba: 0.648 0.648 0.584
Ba: 0.700 0.700 0.088
Ba: 0.981 0.981 0.796
Hg: 0.000 0.000 0.500
Pd: 0.179 0.179 0.095
Pd: 0.821 0.821 0.905

## Properties
ΔE to the lowest computed polymorph, meV per atom: 44
Calculated total energy, eV/atom: -2.819
ΔH_f (0 K), eV/atom: -0.349

This record from Alexandria describes a relaxed structure of BaHg4Pd2. The functional is PBE.

Cell: 19.050 4.912 7.365 Å, 90.00 90.00 90.00°
Sites, in units of the cell vectors:
Ba: 0.140 0.250 0.022
Ba: 0.360 0.750 0.522
Ba: 0.640 0.250 0.478
Ba: 0.860 0.750 0.978
Hg: 0.035 0.750 0.837
Hg: 0.069 0.250 0.490
Hg: 0.183 0.750 0.328
Hg: 0.192 0.750 0.729
Hg: 0.308 0.250 0.229
Hg: 0.317 0.250 0.828
Hg: 0.431 0.750 0.990
Hg: 0.465 0.250 0.337
Hg: 0.535 0.750 0.663
Hg: 0.569 0.250 0.010
Hg: 0.683 0.750 0.172
Hg: 0.692 0.750 0.771
Hg: 0.808 0.250 0.271
Hg: 0.817 0.250 0.672
Hg: 0.931 0.750 0.510
Hg: 0.965 0.250 0.163
Pd: 0.037 0.750 0.243
Pd: 0.216 0.250 0.535
Pd: 0.284 0.750 0.035
Pd: 0.463 0.250 0.743
Pd: 0.537 0.750 0.257
Pd: 0.716 0.250 0.965
Pd: 0.784 0.750 0.465
Pd: 0.963 0.250 0.757

## Properties
ΔE to the lowest computed polymorph, meV per atom: 0
Calculated total energy, eV/atom: -2.252
ΔH_f (0 K), eV/atom: -0.321

This record from Alexandria describes a relaxed structure of Ba2Hg6Pd3. The functional is PBE.

Cell: 8.520 8.520 4.666 Å, 90.00 90.00 120.00°
Sites, in units of the cell vectors:
Ba: 0.333 0.667 0.000
Ba: 0.667 0.333 0.000
Hg: 0.000 0.296 0.500
Hg: 0.000 0.797 0.000
Hg: 0.203 0.203 0.000
Hg: 0.296 0.000 0.500
Hg: 0.704 0.704 0.500
Hg: 0.797 0.000 0.000
Pd: 0.000 0.621 0.500
Pd: 0.379 0.379 0.500
Pd: 0.621 0.000 0.500

## Properties
Calculated total energy, eV/atom: -2.300
ΔH_f (0 K), eV/atom: -0.370

This record from Alexandria describes a relaxed structure of BaHgPd2. The functional is PBE.

Cell: 4.642 7.520 5.981 Å, 90.00 90.00 90.00°
Sites, in units of the cell vectors:
Ba: 0.250 0.250 0.144
Ba: 0.750 0.750 0.856
Hg: 0.250 0.750 0.329
Hg: 0.750 0.250 0.671
Pd: 0.250 0.053 0.618
Pd: 0.250 0.447 0.618
Pd: 0.750 0.553 0.382
Pd: 0.750 0.947 0.382

## Properties
Calculated total energy, eV/atom: -3.634
ΔH_f (0 K), eV/atom: -0.482

This record from Alexandria describes a relaxed structure of Ba4Hg2Pd. The functional is PBE.

Cell: 6.163 6.163 17.053 Å, 90.00 90.00 90.00°
Sites, in units of the cell vectors:
Ba: 0.000 0.000 0.189
Ba: 0.000 0.000 0.811
Ba: 0.000 0.500 0.000
Ba: 0.000 0.500 0.500
Ba: 0.500 0.000 0.000
Ba: 0.500 0.000 0.500
Ba: 0.500 0.500 0.311
Ba: 0.500 0.500 0.689
Hg: 0.000 0.000 0.392
Hg: 0.000 0.000 0.608
Hg: 0.500 0.500 0.108
Hg: 0.500 0.500 0.892
Pd: 0.000 0.000 0.000
Pd: 0.500 0.500 0.500

## Properties
ΔE to the lowest computed polymorph, meV per atom: 78
Calculated total energy, eV/atom: -2.275
ΔH_f (0 K), eV/atom: -0.348

This record from Alexandria describes a relaxed structure of BaPrHgPd. The functional is PBE.

Cell: 7.795 7.795 7.795 Å, 90.00 90.00 90.00°
Sites, in units of the cell vectors:
Ba: 0.000 0.000 0.000
Ba: 0.000 0.500 0.500
Ba: 0.500 0.000 0.500
Ba: 0.500 0.500 0.000
Pr: 0.000 0.000 0.500
Pr: 0.000 0.500 0.000
Pr: 0.500 0.000 0.000
Pr: 0.500 0.500 0.500
Hg: 0.250 0.250 0.250
Hg: 0.250 0.750 0.750
Hg: 0.750 0.250 0.750
Hg: 0.750 0.750 0.250
Pd: 0.250 0.250 0.750
Pd: 0.250 0.750 0.250
Pd: 0.750 0.250 0.250
Pd: 0.750 0.750 0.750

## Properties
Calculated total energy, eV/atom: -3.452
ΔH_f (0 K), eV/atom: -0.403